# 1
# TbDyPuSc (PBE-GGA, relaxed)
data_TbDyPuSc
_space_group_name_H-M_alt 'P 1'
_space_group_IT_number 1
_space_group_name_Hall 'P 1'
_cell_length_a 7.726
_cell_length_b 7.726
_cell_length_c 7.726
_cell_angle_alpha 90.00
_cell_angle_beta 90.00
_cell_angle_gamma 90.00
loop_
_atom_site_label
_atom_site_type_symbol
_atom_site_fract_x
_atom_site_fract_y
_atom_site_fract_z
Tb1 Tb 0.000 0.000 0.000
Tb2 Tb 0.000 0.500 0.500
Tb3 Tb 0.500 0.000 0.500
Tb4 Tb 0.500 0.500 0.000
Dy1 Dy 0.250 0.250 0.750
Dy2 Dy 0.250 0.750 0.250
Dy3 Dy 0.750 0.250 0.250
Dy4 Dy 0.750 0.750 0.750
Pu1 Pu 0.000 0.000 0.500
Pu2 Pu 0.000 0.500 0.000
Pu3 Pu 0.500 0.000 0.000
Pu4 Pu 0.500 0.500 0.500
Sc1 Sc 0.250 0.250 0.250
Sc2 Sc 0.250 0.750 0.750
Sc3 Sc 0.750 0.250 0.750
Sc4 Sc 0.750 0.750 0.250
# electronic total energy	-7.287	eV per atom
# calculated formation energy	72	kJ/mol of formula units
# SG	F-43m, No. 216
# crystal system	cubic
# D(E_F)	10.00	states/eV/f.u.

***

# 2
# YTcSnGe2 (PBE-GGA, relaxed)
data_YTcSnGe2
_space_group_name_H-M_alt 'P 1'
_space_group_IT_number 1
_space_group_name_Hall 'P 1'
_cell_length_a 5.142
_cell_length_b 5.142
_cell_length_c 5.722
_cell_angle_alpha 90.00
_cell_angle_beta 90.00
_cell_angle_gamma 90.00
loop_
_atom_site_label
_atom_site_type_symbol
_atom_site_fract_x
_atom_site_fract_y
_atom_site_fract_z
Y1 Y 0.000 0.000 0.000
Tc1 Tc 0.500 0.500 0.000
Sn1 Sn 0.000 0.000 0.500
Ge1 Ge 0.000 0.500 0.500
Ge2 Ge 0.500 0.000 0.500
# electronic total energy	-4.706	eV per atom
# calculated formation energy	631	kJ/mol of formula units
# SG	P4/mmm, No. 123
# crystal system	tetragonal
# D(E_F)	4.14	states/eV/f.u.